The following is a DFT calculation (PBE-GGA) of a relaxed MnNi9W2 crystal.

Output
Calculated volume = 142.8 Å³/f.u.
Total energy = -87.39 eV per formula unit
Formation energy = -2.2 kJ/mol of atoms

```
data_MnNi9W2
_cell_length_a 3.6197
_cell_length_b 3.6197
_cell_length_c 10.8978
_cell_angle_alpha 90.00
_cell_angle_beta 90.00
_cell_angle_gamma 90.00
_symmetry_space_group_name_H-M 'P 4/m m m'
_symmetry_Int_Tables_number 123
_symmetry_space_group_name_Hall '-P 4 2'
loop_
_atom_site_label
_atom_site_fract_x
_atom_site_fract_y
_atom_site_fract_z
_atom_site_occupancy
Mn1 0.0000 0.0000 0.0000 1
Ni1 0.0000 0.5000 0.1671 1
Ni2 0.0000 0.5000 0.5000 1
Ni3 0.5000 0.5000 0.0000 1
Ni4 0.5000 0.5000 0.3353 1
W1 0.0000 0.0000 0.3272 1
```

***

The following is a DFT calculation (PBE-GGA) of a relaxed YMn2Ni crystal.

Output
Calculated volume = 65.0 Å³/f.u.
Total energy = -30.38 eV per formula unit
Formation energy = 4.9 kJ/mol of atoms

```
data_YMn2Ni
_cell_length_a 3.1481
_cell_length_b 3.1481
_cell_length_c 6.5574
_cell_angle_alpha 90.00
_cell_angle_beta 90.00
_cell_angle_gamma 90.00
_symmetry_space_group_name_H-M 'P 4 m m'
_symmetry_Int_Tables_number 99
loop_
_symmetry_equiv_pos_as_xyz
'x,y,z'
'-y,x,z'
'-x,-y,z'
'y,-x,z'
'-x,y,z'
'y,x,z'
'x,-y,z'
'-y,-x,z'
loop_
_atom_site_label
_atom_site_fract_x
_atom_site_fract_y
_atom_site_fract_z
_atom_site_occupancy
Y1 0.0000 0.0000 0.0000 1
Mn1 0.0000 0.0000 0.5107 1
Mn2 0.5000 0.5000 0.3179 1
Ni1 0.5000 0.5000 0.7087 1
```

***

The following is a DFT calculation (PBE-GGA) of a relaxed YMnNi crystal.

Output
Calculated volume = 65.2 Å³/f.u.
Total energy = -19.10 eV per formula unit
Formation energy = 74.6 kJ/mol of atoms

```
data_YMnNi
_cell_length_a 6.3900
_cell_length_b 6.3900
_cell_length_c 6.3900
_cell_angle_alpha 90.00
_cell_angle_beta 90.00
_cell_angle_gamma 90.00
_symmetry_space_group_name_H-M 'F -4 3 m'
_symmetry_Int_Tables_number 216
_symmetry_space_group_name_Hall 'F -4 2 3'
loop_
_atom_site_label
_atom_site_fract_x
_atom_site_fract_y
_atom_site_fract_z
_atom_site_occupancy
Y1 0.0000 0.0000 0.0000 1
Mn1 0.2500 0.2500 0.2500 1
Ni1 0.2500 0.2500 0.7500 1
```

***

The following is a DFT calculation (PBE-GGA) of a relaxed YMn2Ni2 crystal.

Output
Calculated volume = 69.3 Å³/f.u.
Total energy = -35.28 eV per formula unit
Formation energy = 21.0 kJ/mol of atoms

```
data_YMn2Ni2
_cell_length_a 7.2254
_cell_length_b 7.2254
_cell_length_c 2.6556
_cell_angle_alpha 90.00
_cell_angle_beta 90.00
_cell_angle_gamma 90.00
_symmetry_space_group_name_H-M 'P 4/m b m'
_symmetry_Int_Tables_number 127
_symmetry_space_group_name_Hall '-P 4 2ab'
loop_
_atom_site_label
_atom_site_fract_x
_atom_site_fract_y
_atom_site_fract_z
_atom_site_occupancy
Y1 0.0000 0.0000 0.0000 1
Mn1 0.0997 0.4003 0.0000 1
Ni1 0.1878 0.6878 0.5000 1
```

***

The following is a DFT calculation (PBE-GGA) of a relaxed Y3Mn2Ni7 crystal.

Output
Calculated volume = 181.4 Å³/f.u.
Total energy = -82.15 eV per formula unit
Formation energy = -31.8 kJ/mol of atoms

```
data_Y3Mn2Ni7
_cell_length_a 5.0839
_cell_length_b 5.0839
_cell_length_c 24.3136
_cell_angle_alpha 90.00
_cell_angle_beta 90.00
_cell_angle_gamma 120.00
_symmetry_space_group_name_H-M 'R -3 m'
_symmetry_Int_Tables_number 166
_symmetry_space_group_name_Hall '-R 3 2"'
loop_
_atom_site_label
_atom_site_fract_x
_atom_site_fract_y
_atom_site_fract_z
_atom_site_occupancy
Y1 0.0000 0.0000 0.0000 1
Y2 0.0000 0.0000 0.1394 1
Mn1 0.0000 0.0000 0.3326 1
Ni1 0.0000 0.0000 0.5000 1
Ni2 0.0018 0.5009 0.0821 1
```

***

The following is a DFT calculation (PBE-GGA) of a relaxed YMn2Ni crystal.

Output
Calculated volume = 65.5 Å³/f.u.
Total energy = -29.89 eV per formula unit
Formation energy = 16.7 kJ/mol of atoms

```
data_YMn2Ni
_cell_length_a 3.9449
_cell_length_b 3.9449
_cell_length_c 4.2110
_cell_angle_alpha 90.00
_cell_angle_beta 90.00
_cell_angle_gamma 90.00
_symmetry_space_group_name_H-M 'P 4/m m m'
_symmetry_Int_Tables_number 123
_symmetry_space_group_name_Hall '-P 4 2'
loop_
_atom_site_label
_atom_site_fract_x
_atom_site_fract_y
_atom_site_fract_z
_atom_site_occupancy
Y1 0.0000 0.0000 0.0000 1
Mn1 0.0000 0.5000 0.5000 1
Ni1 0.5000 0.5000 0.0000 1
```

***

The following is a DFT calculation (PBE-GGA) of a relaxed YMnNi crystal.

Output
Calculated volume = 61.0 Å³/f.u.
Total energy = -21.14 eV per formula unit
Formation energy = 8.9 kJ/mol of atoms

```
data_YMnNi
_cell_length_a 6.2502
_cell_length_b 6.2502
_cell_length_c 6.2502
_cell_angle_alpha 90.00
_cell_angle_beta 90.00
_cell_angle_gamma 90.00
_symmetry_space_group_name_H-M 'F -4 3 m'
_symmetry_Int_Tables_number 216
_symmetry_space_group_name_Hall 'F -4 2 3'
loop_
_atom_site_label
_atom_site_fract_x
_atom_site_fract_y
_atom_site_fract_z
_atom_site_occupancy
Y1 0.0000 0.0000 0.0000 1
Mn1 0.0000 0.0000 0.5000 1
Ni1 0.2500 0.2500 0.7500 1
```

***

The following is a DFT calculation (PBE-GGA) of a relaxed Y3MnNi8 crystal.

Output
Calculated volume = 176.8 Å³/f.u.
Total energy = -78.91 eV per formula unit
Formation energy = -33.0 kJ/mol of atoms

```
data_Y3MnNi8
_cell_length_a 4.9955
_cell_length_b 4.9955
_cell_length_c 24.5419
_cell_angle_alpha 90.00
_cell_angle_beta 90.00
_cell_angle_gamma 120.00
_symmetry_space_group_name_H-M 'R 3 m'
_symmetry_Int_Tables_number 160
_symmetry_space_group_name_Hall 'R 3 -2"'
loop_
_atom_site_label
_atom_site_fract_x
_atom_site_fract_y
_atom_site_fract_z
_atom_site_occupancy
Y1 0.0000 0.0000 0.0000 1
Y2 0.0000 0.0000 0.1286 1
Y3 0.0000 0.0000 0.5135 1
Mn1 0.0000 0.0000 0.6356 1
Ni1 0.0000 0.0000 0.3172 1
Ni2 0.0000 0.0000 0.8176 1
Ni3 0.1681 0.3361 0.3993 1
Ni4 0.1678 0.3356 0.9025 1
```

***

The following is a DFT calculation (PBE-GGA) of a relaxed YMn2Ni crystal.

Output
Calculated volume = 72.4 Å³/f.u.
Total energy = -28.59 eV per formula unit
Formation energy = 48.1 kJ/mol of atoms

```
data_YMn2Ni
_cell_length_a 3.1074
_cell_length_b 3.1074
_cell_length_c 25.9710
_cell_angle_alpha 90.00
_cell_angle_beta 90.00
_cell_angle_gamma 120.00
_symmetry_space_group_name_H-M 'R -3 m'
_symmetry_Int_Tables_number 166
_symmetry_space_group_name_Hall '-R 3 2"'
loop_
_atom_site_label
_atom_site_fract_x
_atom_site_fract_y
_atom_site_fract_z
_atom_site_occupancy
Y1 0.0000 0.0000 0.0000 1
Mn1 0.0000 0.0000 0.2339 1
Ni1 0.0000 0.0000 0.5000 1
```

***

The following is a DFT calculation (PBE-GGA) of a relaxed Y3MnNi crystal.

Output
Calculated volume = 141.9 Å³/f.u.
Total energy = -33.15 eV per formula unit
Formation energy = 23.1 kJ/mol of atoms

```
data_Y3MnNi
_cell_length_a 5.2158
_cell_length_b 5.2158
_cell_length_c 5.2158
_cell_angle_alpha 90.00
_cell_angle_beta 90.00
_cell_angle_gamma 90.00
_symmetry_space_group_name_H-M 'P m -3 m'
_symmetry_Int_Tables_number 221
_symmetry_space_group_name_Hall '-P 4 2 3'
loop_
_atom_site_label
_atom_site_fract_x
_atom_site_fract_y
_atom_site_fract_z
_atom_site_occupancy
Y1 0.0000 0.0000 0.5000 1
Mn1 0.5000 0.5000 0.5000 1
Ni1 0.0000 0.0000 0.0000 1
```

***

The following is a DFT calculation (PBE-GGA) of a relaxed YMn2Ni crystal.

Output
Calculated volume = 69.9 Å³/f.u.
Total energy = -29.79 eV per formula unit
Formation energy = 19.1 kJ/mol of atoms

```
data_YMn2Ni
_cell_length_a 3.2812
_cell_length_b 4.0455
_cell_length_c 5.5128
_cell_angle_alpha 90.00
_cell_angle_beta 107.22
_cell_angle_gamma 90.00
_symmetry_space_group_name_H-M 'P 1 m 1'
_symmetry_Int_Tables_number 6
loop_
_symmetry_equiv_pos_as_xyz
'x,y,z'
'x,-y,z'
loop_
_atom_site_label
_atom_site_fract_x
_atom_site_fract_y
_atom_site_fract_z
_atom_site_occupancy
Y1 0.0000 0.0000 0.0000 1
Mn1 0.2672 0.0000 0.5308 1
Mn2 0.6890 0.5000 0.3757 1
Ni1 0.3887 0.5000 0.7760 1
```

***

The following is a DFT calculation (PBE-GGA) of a relaxed YMnNi crystal.

Output
Calculated volume = 55.3 Å³/f.u.
Total energy = -21.74 eV per formula unit
Formation energy = -10.4 kJ/mol of atoms

```
data_YMnNi
_cell_length_a 3.9571
_cell_length_b 3.9571
_cell_length_c 4.0775
_cell_angle_alpha 90.00
_cell_angle_beta 90.00
_cell_angle_gamma 120.00
_symmetry_space_group_name_H-M 'P -6 m 2'
_symmetry_Int_Tables_number 187
_symmetry_space_group_name_Hall 'P -6 2'
loop_
_atom_site_label
_atom_site_fract_x
_atom_site_fract_y
_atom_site_fract_z
_atom_site_occupancy
Y1 0.0000 0.0000 0.0000 1
Mn1 0.6667 0.3333 0.5000 1
Ni1 0.3333 0.6667 0.5000 1
```

***

The following is a DFT calculation (PBE-GGA) of a relaxed YMn2Ni2 crystal.

Output
Calculated volume = 74.2 Å³/f.u.
Total energy = -36.16 eV per formula unit
Formation energy = 4.0 kJ/mol of atoms

```
data_YMn2Ni2
_cell_length_a 3.9647
_cell_length_b 3.9647
_cell_length_c 9.4419
_cell_angle_alpha 90.00
_cell_angle_beta 90.00
_cell_angle_gamma 90.00
_symmetry_space_group_name_H-M 'I 4/m m m'
_symmetry_Int_Tables_number 139
_symmetry_space_group_name_Hall '-I 4 2'
loop_
_atom_site_label
_atom_site_fract_x
_atom_site_fract_y
_atom_site_fract_z
_atom_site_occupancy
Y1 0.0000 0.0000 0.0000 1
Mn1 0.0000 0.0000 0.3923 1
Ni1 0.0000 0.5000 0.2500 1
```

***

The following is a DFT calculation (PBE-GGA) of a relaxed YMn2Ni crystal.

Output
Calculated volume = 69.4 Å³/f.u.
Total energy = -30.67 eV per formula unit
Formation energy = -2.2 kJ/mol of atoms

```
data_YMn2Ni
_cell_length_a 4.0337
_cell_length_b 4.0337
_cell_length_c 14.7681
_cell_angle_alpha 90.00
_cell_angle_beta 90.00
_cell_angle_gamma 120.00
_symmetry_space_group_name_H-M 'R 3 m'
_symmetry_Int_Tables_number 160
_symmetry_space_group_name_Hall 'R 3 -2"'
loop_
_atom_site_label
_atom_site_fract_x
_atom_site_fract_y
_atom_site_fract_z
_atom_site_occupancy
Y1 0.0000 0.0000 0.0000 1
Mn1 0.0000 0.0000 0.1942 1
Mn2 0.0000 0.0000 0.5109 1
Ni1 0.0000 0.0000 0.7909 1
```